No. 1
Here is crystalline ErMnSn2Se5 at its relaxed geometry from the Alexandria database. Energies are from PBE-GGA.

Properties
M_tot = 4.02 μB per formula unit
energy = -5.122 eV per atom
V = 250.0 Å³/f.u.

abc: 4.0837 9.5059 13.1855
angles: 90.00 90.00 102.40
Last column: magnetic moment on the atom in μB.
Atoms (fractional coordinates):
1 Er 0.8060 0.6121 0.5294  0.03
2 Er 0.1940 0.3879 0.0294  0.03
3 Se 0.0321 0.0642 0.0068  -0.04
4 Se 0.6912 0.3823 0.1773  0.00
5 Se 0.3076 0.6153 0.3771  0.01
6 Se 0.5080 0.0161 0.2633  -0.03
7 Se 0.6561 0.3123 0.5274  -0.02
8 Se 0.4920 0.9839 0.7633  -0.03
9 Se 0.9679 0.9358 0.5068  -0.04
10 Se 0.3439 0.6877 0.0274  -0.02
11 Se 0.6924 0.3847 0.8771  0.01
12 Se 0.3088 0.6177 0.6773  0.00
13 Sn 0.8399 0.6797 0.1763  0.00
14 Sn 0.0908 0.1816 0.3528  0.01
15 Sn 0.1601 0.3203 0.6763  0.00
16 Sn 0.9092 0.8184 0.8528  0.01
17 Mn 0.5652 0.1305 0.9136  3.66
18 Mn 0.4348 0.8695 0.4136  3.66

No. 2
Here is crystalline Al2HgRh at its relaxed geometry from the Alexandria database. Energies are from PBE-GGA.

Properties
energy of formation = 0.0 eV/f.u.
M_tot = 0.00 μB per formula unit
energy = -3.794 eV per atom
V = 72.9 Å³/f.u.

abc: 4.0695 4.0695 9.2613
angles: 77.31 77.31 90.00
Atoms (fractional coordinates):
1 Al 0.3750 0.4053 0.7500
2 Al 0.1553 0.6250 0.2500
3 Al 0.5947 0.1250 0.2500
4 Al 0.8750 0.8447 0.7500
5 Rh 0.5000 0.5000 0.0000
6 Rh 0.2500 0.7500 0.5000
7 Hg 0.0000 0.0000 0.0000
8 Hg 0.7500 0.2500 0.5000

No. 3
Here is crystalline ErThScPa at its relaxed geometry from the Alexandria database. Energies are from PBE-GGA.

Properties
energy of formation = 1.3 eV/f.u.
M_tot = 0.09 μB per formula unit
energy = -6.624 eV per atom
V = 113.1 Å³/f.u.

abc: 5.4279 5.4279 5.4279
angles: 60.00 60.00 60.00
Atoms (fractional coordinates):
1 Th 0.5000 0.5000 0.5000
2 Er 0.7500 0.7500 0.7500
3 Pa 0.2500 0.2500 0.2500
4 Sc 0.0000 0.0000 0.0000

No. 4
Here is crystalline FePdPt14 at its relaxed geometry from the Alexandria database. Energies are from PBE-GGA.

Properties
energy of formation = -0.6 eV/f.u.
M_tot = 5.62 μB per formula unit
energy = -6.178 eV per atom
V = 248.8 Å³/f.u.

abc: 5.5713 5.5713 9.2676
angles: 90.00 90.00 120.12
Last column: magnetic moment on the atom in μB.
Atoms (fractional coordinates):
1 Pt 0.8751 0.1249 0.7498  -0.12
2 Pt 0.7094 0.7896 0.0000  -0.10
3 Pt 0.3765 0.1277 0.2556  -0.17
4 Pt 0.7095 0.2905 0.0000  -0.12
5 Pt 0.3769 0.6231 0.2573  -0.17
6 Pt 0.0382 0.4596 0.5000  -0.24
7 Pt 0.8751 0.1249 0.2502  -0.12
8 Pt 0.3765 0.1277 0.7444  -0.17
9 Pt 0.5404 0.9618 0.5000  -0.24
10 Pt 0.2104 0.2906 0.0000  -0.10
11 Pt 0.3769 0.6231 0.7427  -0.17
12 Pt 0.8723 0.6235 0.7444  -0.17
13 Pt 0.8723 0.6235 0.2556  -0.17
14 Pt 0.2101 0.7899 0.0000  -0.05
15 Pd 0.0389 0.9611 0.5000  -0.22
16 Fe 0.5413 0.4587 0.5000  -3.33

No. 5
Here is crystalline Mg3Zn3Pd2 at its relaxed geometry from the Alexandria database. Energies are from PBE-GGA.

Properties
energy of formation = -3.1 eV/f.u.
M_tot = 0.00 μB per formula unit
energy = -2.758 eV per atom
excess energy over the best structure of this formula in the dataset = 10 meV per atom
V = 141.8 Å³/f.u.

abc: 5.2545 6.7333 16.0343
angles: 90.00 90.00 90.00
Atoms (fractional coordinates):
1 Zn 0.0964 0.1794 0.5219
2 Zn 0.0964 0.1794 0.9781
3 Zn 0.6574 0.3147 0.7500
4 Zn 0.5964 0.3206 0.0219
5 Zn 0.9036 0.8206 0.4781
6 Zn 0.5964 0.3206 0.4781
7 Zn 0.3426 0.6852 0.2500
8 Zn 0.8426 0.8148 0.7500
9 Zn 0.1574 0.1852 0.2500
10 Zn 0.4036 0.6794 0.9781
11 Zn 0.4036 0.6794 0.5219
12 Zn 0.9036 0.8206 0.0219
13 Mg 0.1217 0.4761 0.1152
14 Mg 0.1217 0.4761 0.3848
15 Mg 0.8783 0.5239 0.6152
16 Mg 0.6217 0.0239 0.8848
17 Mg 0.1525 0.1612 0.7500
18 Mg 0.8475 0.8388 0.2500
19 Mg 0.6217 0.0239 0.6152
20 Mg 0.3783 0.9761 0.3848
21 Mg 0.8783 0.5239 0.8848
22 Mg 0.3475 0.6612 0.7500
23 Mg 0.6525 0.3388 0.2500
24 Mg 0.3783 0.9761 0.1152
25 Pd 0.3728 0.3789 0.6221
26 Pd 0.1272 0.8789 0.6221
27 Pd 0.6272 0.6211 0.3779
28 Pd 0.8728 0.1211 0.1221
29 Pd 0.3728 0.3789 0.8779
30 Pd 0.6272 0.6211 0.1221
31 Pd 0.8728 0.1211 0.3779
32 Pd 0.1272 0.8789 0.8779

No. 6
Here is crystalline Sr4LaTa at its relaxed geometry from the Alexandria database. Energies are from PBE-GGA.

Properties
energy of formation = 6.1 eV/f.u.
M_tot = 3.94 μB per formula unit
energy = -2.902 eV per atom
V = 248.2 Å³/f.u.

abc: 7.0539 7.0539 7.0539
angles: 60.00 60.00 60.00
Last column: magnetic moment on the atom in μB.
Atoms (fractional coordinates):
1 La 0.0000 0.0000 0.0000  -0.12
2 Sr 0.3757 0.8729 0.3757  0.03
3 Sr 0.3757 0.3757 0.8729  0.03
4 Sr 0.3757 0.3757 0.3757  0.03
5 Sr 0.8729 0.3757 0.3757  0.03
6 Ta 0.7500 0.7500 0.7500  1.99

No. 7
Here is crystalline In2CoTc at its relaxed geometry from the Alexandria database. Energies are from PBE-GGA.

Properties
energy of formation = 1.5 eV/f.u.
M_tot = 2.99 μB per formula unit
energy = -5.356 eV per atom
excess energy over the best structure of this formula in the dataset = 154 meV per atom
V = 68.4 Å³/f.u.

abc: 5.1826 5.1826 5.1826
angles: 135.08 135.08 65.41
Last column: magnetic moment on the atom in μB.
Atoms (fractional coordinates):
1 In 0.2500 0.7500 0.5000  -0.02
2 In 0.0000 0.0000 0.0000  -0.03
3 Co 0.7500 0.2500 0.5000  1.62
4 Tc 0.5000 0.5000 0.0000  1.31

No. 8
Here is crystalline Y8PdPt2 at its relaxed geometry from the Alexandria database. Energies are from PBE-GGA.

Properties
energy of formation = -5.9 eV/f.u.
M_tot = 0.00 μB per formula unit
energy = -6.809 eV per atom
V = 306.8 Å³/f.u.

abc: 5.9282 7.6721 7.6721
angles: 112.52 99.82 99.82
Atoms (fractional coordinates):
1 Y 0.9892 0.2230 0.7798
2 Y 0.8077 0.6376 0.6376
3 Y 0.5836 0.3394 0.0818
4 Y 0.1694 0.3682 0.3682
5 Y 0.3822 0.6668 0.9241
6 Y 0.5836 0.0818 0.3394
7 Y 0.3822 0.9241 0.6668
8 Y 0.9892 0.7798 0.2230
9 Pt 0.4888 0.6941 0.3136
10 Pt 0.4888 0.3136 0.6941
11 Pd 0.1350 0.0056 0.0056